(1)
Computed, not measured: LaZn2Ir after structural relaxation at the GGA-PBE level of DFT.

Structure (CIF):
```
data_LaZn2Ir
_chemical_formula_sum 'La3 Zn6 Ir3'
_cell_length_a 3.2114
_cell_length_b 3.2114
_cell_length_c 26.6251
_cell_angle_alpha 90.00
_cell_angle_beta 90.00
_cell_angle_gamma 120.00
_space_group_name_H-M_alt 'R 3 m'
_space_group_IT_number 160
_space_group_name_Hall 'R 3 -2"'
loop_
_atom_site_label
_atom_site_fract_x
_atom_site_fract_y
_atom_site_fract_z
La1 0.0000 0.0000 0.0000
Zn1 0.0000 0.0000 0.2328
Zn2 0.0000 0.0000 0.4909
Ir1 0.0000 0.0000 0.7551
```

DFT formation energy = 146 meV/atom
magnetization = 0.000 μB per formula unit


(2)
Computed, not measured: La2ZnIr after structural relaxation at the GGA-PBE level of DFT.

Structure (CIF):
```
data_La2ZnIr
_chemical_formula_sum 'La2 Zn1 Ir1'
_cell_length_a 3.528
_cell_length_b 3.528
_cell_length_c 8.413
_cell_angle_alpha 90.00
_cell_angle_beta 90.00
_cell_angle_gamma 90.00
_space_group_name_H-M_alt 'P 4 m m'
_space_group_IT_number 99
loop_
_space_group_symop_operation_xyz
'x,y,z'
'-y,x,z'
'-x,-y,z'
'y,-x,z'
'-x,y,z'
'y,x,z'
'x,-y,z'
'-y,-x,z'
loop_
_atom_site_label
_atom_site_fract_x
_atom_site_fract_y
_atom_site_fract_z
La1 0.000 0.000 0.000
La2 0.500 0.500 0.422
Zn1 0.000 0.000 0.651
Ir1 0.500 0.500 0.792
```

DFT formation energy = -240 meV/atom
magnetization = 0.000 μB per formula unit


(3)
Computed, not measured: La2ZnIr after structural relaxation at the GGA-PBE level of DFT.

Structure (CIF):
```
data_La2ZnIr
_chemical_formula_sum 'La6 Zn3 Ir3'
_cell_length_a 4.2020
_cell_length_b 4.2020
_cell_length_c 22.9823
_cell_angle_alpha 90.00
_cell_angle_beta 90.00
_cell_angle_gamma 120.00
_space_group_name_H-M_alt 'R -3 m'
_space_group_IT_number 166
_space_group_name_Hall '-R 3 2"'
loop_
_atom_site_label
_atom_site_fract_x
_atom_site_fract_y
_atom_site_fract_z
La1 0.0000 0.0000 0.2355
Zn1 0.0000 0.0000 0.0000
Ir1 0.0000 0.0000 0.5000
```

DFT formation energy = -473 meV/atom
magnetization = 0.000 μB per formula unit


(4)
Computed, not measured: La3Zn3Ir2 after structural relaxation at the GGA-PBE level of DFT.

Structure (CIF):
```
data_La3Zn3Ir2
_chemical_formula_sum 'La12 Zn12 Ir8'
_cell_length_a 4.150
_cell_length_b 10.697
_cell_length_c 16.591
_cell_angle_alpha 90.00
_cell_angle_beta 90.00
_cell_angle_gamma 90.00
_space_group_name_H-M_alt 'C m c m'
_space_group_IT_number 63
_space_group_name_Hall '-C 2c 2'
loop_
_atom_site_label
_atom_site_fract_x
_atom_site_fract_y
_atom_site_fract_z
La1 0.000 0.065 0.103
La2 0.000 0.338 0.250
Zn1 0.000 0.344 0.033
Zn2 0.000 0.368 0.750
Ir1 0.000 0.229 0.618
```

DFT formation energy = -545 meV/atom
magnetization = 0.000 μB per formula unit


(5)
Computed, not measured: LaZn6Ir4 after structural relaxation at the GGA-PBE level of DFT.

Structure (CIF):
```
data_LaZn6Ir4
_chemical_formula_sum 'La2 Zn12 Ir8'
_cell_length_a 6.617
_cell_length_b 6.617
_cell_length_c 9.471
_cell_angle_alpha 90.00
_cell_angle_beta 90.00
_cell_angle_gamma 90.00
_space_group_name_H-M_alt 'I -4 2 m'
_space_group_IT_number 121
_space_group_name_Hall 'I -4 2'
loop_
_atom_site_label
_atom_site_fract_x
_atom_site_fract_y
_atom_site_fract_z
La1 0.000 0.000 0.000
Zn1 0.000 0.500 0.000
Zn2 0.191 0.191 0.704
Ir1 0.167 0.167 0.422
```

DFT formation energy = -99 meV/atom
magnetization = 0.000 μB per formula unit


(6)
Computed, not measured: La3Zn8Ir after structural relaxation at the GGA-PBE level of DFT.

Structure (CIF):
```
data_La3Zn8Ir
_chemical_formula_sum 'La9 Zn24 Ir3'
_cell_length_a 5.2950
_cell_length_b 5.2950
_cell_length_c 29.7672
_cell_angle_alpha 90.00
_cell_angle_beta 90.00
_cell_angle_gamma 120.00
_space_group_name_H-M_alt 'R 3 m'
_space_group_IT_number 160
_space_group_name_Hall 'R 3 -2"'
loop_
_atom_site_label
_atom_site_fract_x
_atom_site_fract_y
_atom_site_fract_z
La1 0.0000 0.0000 0.0000
La2 0.0000 0.0000 0.1292
La3 0.0000 0.0000 0.5166
Zn1 0.0000 0.0000 0.3152
Zn2 0.0000 0.0000 0.8264
Zn3 0.1677 0.3354 0.4005
Zn4 0.1679 0.3358 0.9072
Ir1 0.0000 0.0000 0.6092
```

DFT formation energy = -263 meV/atom
magnetization = 0.000 μB per formula unit


(7)
Computed, not measured: La3Zn2Ir3 after structural relaxation at the GGA-PBE level of DFT.

Structure (CIF):
```
data_La3Zn2Ir3
_chemical_formula_sum 'La12 Zn8 Ir12'
_cell_length_a 4.169
_cell_length_b 11.942
_cell_length_c 14.386
_cell_angle_alpha 90.00
_cell_angle_beta 90.00
_cell_angle_gamma 90.00
_space_group_name_H-M_alt 'C m c m'
_space_group_IT_number 63
_space_group_name_Hall '-C 2c 2'
loop_
_atom_site_label
_atom_site_fract_x
_atom_site_fract_y
_atom_site_fract_z
La1 0.000 0.075 0.112
La2 0.000 0.346 0.250
Zn1 0.000 0.223 0.578
Ir1 0.000 0.330 0.750
Ir2 0.000 0.399 0.043
```

DFT formation energy = -600 meV/atom
magnetization = 0.000 μB per formula unit


(8)
Computed, not measured: LaZnIr2 after structural relaxation at the GGA-PBE level of DFT.

Structure (CIF):
```
data_LaZnIr2
_chemical_formula_sum 'La1 Zn1 Ir2'
_cell_length_a 2.960
_cell_length_b 4.068
_cell_length_c 6.192
_cell_angle_alpha 90.00
_cell_angle_beta 90.00
_cell_angle_gamma 90.00
_space_group_name_H-M_alt 'P m m 2'
_space_group_IT_number 25
loop_
_space_group_symop_operation_xyz
'x,y,z'
'-x,-y,z'
'-x,y,z'
'x,-y,z'
loop_
_atom_site_label
_atom_site_fract_x
_atom_site_fract_y
_atom_site_fract_z
La1 0.000 0.000 0.000
Zn1 0.500 0.500 0.337
Ir1 0.000 0.000 0.500
Ir2 0.500 0.500 0.740
```

DFT formation energy = -86 meV/atom
magnetization = 0.000 μB per formula unit


(9)
Computed, not measured: La3Zn7Ir4 after structural relaxation at the GGA-PBE level of DFT.

Structure (CIF):
```
data_La3Zn7Ir4
_chemical_formula_sum 'La6 Zn14 Ir8'
_cell_length_a 15.697
_cell_length_b 4.288
_cell_length_c 9.842
_cell_angle_alpha 90.00
_cell_angle_beta 125.39
_cell_angle_gamma 90.00
_space_group_name_H-M_alt 'C 1 2/m 1'
_space_group_IT_number 12
loop_
_space_group_symop_operation_xyz
'x,y,z'
'-x,-y,-z'
'-x,y,-z'
'x,-y,z'
'x+1/2,y+1/2,z'
'-x+1/2,-y+1/2,-z'
'-x+1/2,y+1/2,-z'
'x+1/2,-y+1/2,z'
loop_
_atom_site_label
_atom_site_fract_x
_atom_site_fract_y
_atom_site_fract_z
La1 0.000 0.000 0.000
La2 0.197 0.500 0.709
Zn1 0.000 0.000 0.500
Zn2 0.011 0.500 0.287
Zn3 0.152 0.000 0.417
Zn4 0.179 0.500 0.014
Ir1 0.104 0.000 0.812
Ir2 0.170 0.500 0.277
```

DFT formation energy = -476 meV/atom
magnetization = 0.000 μB per formula unit


(10)
Computed, not measured: La8ZnIr2 after structural relaxation at the GGA-PBE level of DFT.

Structure (CIF):
```
data_La8ZnIr2
_chemical_formula_sum 'La16 Zn2 Ir4'
_cell_length_a 8.718
_cell_length_b 14.091
_cell_length_c 5.900
_cell_angle_alpha 90.00
_cell_angle_beta 107.06
_cell_angle_gamma 90.00
_space_group_name_H-M_alt 'C 1 m 1'
_space_group_IT_number 8
loop_
_space_group_symop_operation_xyz
'x,y,z'
'x,-y,z'
'x+1/2,y+1/2,z'
'x+1/2,-y+1/2,z'
loop_
_atom_site_label
_atom_site_fract_x
_atom_site_fract_y
_atom_site_fract_z
La1 0.000 0.000 0.000
La2 0.106 0.377 0.745
La3 0.178 0.123 0.631
La4 0.284 0.500 0.376
La5 0.392 0.239 0.188
Zn1 0.392 0.000 0.186
Ir1 0.392 0.285 0.688
```

DFT formation energy = -298 meV/atom
magnetization = 0.000 μB per formula unit


(11)
Computed, not measured: LaZnIr2 after structural relaxation at the GGA-PBE level of DFT.

Structure (CIF):
```
data_LaZnIr2
_chemical_formula_sum 'La2 Zn2 Ir4'
_cell_length_a 10.831
_cell_length_b 3.107
_cell_length_c 5.185
_cell_angle_alpha 90.00
_cell_angle_beta 118.23
_cell_angle_gamma 90.00
_space_group_name_H-M_alt 'C 1 m 1'
_space_group_IT_number 8
loop_
_space_group_symop_operation_xyz
'x,y,z'
'x,-y,z'
'x+1/2,y+1/2,z'
'x+1/2,-y+1/2,z'
loop_
_atom_site_label
_atom_site_fract_x
_atom_site_fract_y
_atom_site_fract_z
La1 0.000 0.000 0.000
Zn1 0.301 0.500 0.331
Ir1 0.023 0.500 0.499
Ir2 0.236 0.000 0.878
```

DFT formation energy = -167 meV/atom
magnetization = 0.003 μB per formula unit


(12)
Computed, not measured: La2ZnIr after structural relaxation at the GGA-PBE level of DFT.

Structure (CIF):
```
data_La2ZnIr
_chemical_formula_sum 'La2 Zn1 Ir1'
_cell_length_a 3.684
_cell_length_b 3.684
_cell_length_c 7.364
_cell_angle_alpha 90.00
_cell_angle_beta 90.00
_cell_angle_gamma 90.00
_space_group_name_H-M_alt 'P 4/m m m'
_space_group_IT_number 123
_space_group_name_Hall '-P 4 2'
loop_
_atom_site_label
_atom_site_fract_x
_atom_site_fract_y
_atom_site_fract_z
La1 0.000 0.000 0.230
Zn1 0.500 0.500 0.500
Ir1 0.500 0.500 0.000
```

DFT formation energy = -487 meV/atom
magnetization = 0.000 μB per formula unit


(13)
Computed, not measured: La3Zn9Ir2 after structural relaxation at the GGA-PBE level of DFT.

Structure (CIF):
```
data_La3Zn9Ir2
_chemical_formula_sum 'La6 Zn18 Ir4'
_cell_length_a 4.415
_cell_length_b 9.349
_cell_length_c 13.080
_cell_angle_alpha 90.00
_cell_angle_beta 90.00
_cell_angle_gamma 90.00
_space_group_name_H-M_alt 'I m m m'
_space_group_IT_number 71
_space_group_name_Hall '-I 2 2'
loop_
_atom_site_label
_atom_site_fract_x
_atom_site_fract_y
_atom_site_fract_z
La1 0.000 0.000 0.000
La2 0.000 0.000 0.313
Zn1 0.000 0.282 0.122
Zn2 0.000 0.357 0.333
Zn3 0.000 0.500 0.000
Ir1 0.000 0.205 0.500
```

DFT formation energy = -378 meV/atom
magnetization = 0.000 μB per formula unit


(14)
Computed, not measured: La2ZnIr after structural relaxation at the GGA-PBE level of DFT.

Structure (CIF):
```
data_La2ZnIr
_chemical_formula_sum 'La8 Zn4 Ir4'
_cell_length_a 7.957
_cell_length_b 7.957
_cell_length_c 7.117
_cell_angle_alpha 90.00
_cell_angle_beta 90.00
_cell_angle_gamma 90.00
_space_group_name_H-M_alt 'I -4 2 d'
_space_group_IT_number 122
_space_group_name_Hall 'I -4 2bw'
loop_
_atom_site_label
_atom_site_fract_x
_atom_site_fract_y
_atom_site_fract_z
La1 0.211 0.250 0.125
Zn1 0.000 0.000 0.500
Ir1 0.000 0.000 0.000
```

DFT formation energy = -216 meV/atom
magnetization = 0.000 μB per formula unit


(15)
Computed, not measured: LaZnIr2 after structural relaxation at the GGA-PBE level of DFT.

Structure (CIF):
```
data_LaZnIr2
_chemical_formula_sum 'La2 Zn2 Ir4'
_cell_length_a 4.040
_cell_length_b 4.102
_cell_length_c 8.941
_cell_angle_alpha 90.00
_cell_angle_beta 90.00
_cell_angle_gamma 90.00
_space_group_name_H-M_alt 'I m m 2'
_space_group_IT_number 44
loop_
_space_group_symop_operation_xyz
'x,y,z'
'-x,-y,z'
'-x,y,z'
'x,-y,z'
'x+1/2,y+1/2,z+1/2'
'-x+1/2,-y+1/2,z+1/2'
'-x+1/2,y+1/2,z+1/2'
'x+1/2,-y+1/2,z+1/2'
loop_
_atom_site_label
_atom_site_fract_x
_atom_site_fract_y
_atom_site_fract_z
La1 0.000 0.000 0.000
Zn1 0.000 0.500 0.752
Ir1 0.000 0.000 0.499
Ir2 0.000 0.500 0.248
```

DFT formation energy = -121 meV/atom
magnetization = 0.000 μB per formula unit


(16)
Computed, not measured: LaZn2Ir after structural relaxation at the GGA-PBE level of DFT.

Structure (CIF):
```
data_LaZn2Ir
_chemical_formula_sum 'La1 Zn2 Ir1'
_cell_length_a 4.296
_cell_length_b 4.584
_cell_length_c 4.637
_cell_angle_alpha 90.00
_cell_angle_beta 104.75
_cell_angle_gamma 90.00
_space_group_name_H-M_alt 'P 1 2/m 1'
_space_group_IT_number 10
loop_
_space_group_symop_operation_xyz
'x,y,z'
'-x,-y,-z'
'-x,y,-z'
'x,-y,z'
loop_
_atom_site_label
_atom_site_fract_x
_atom_site_fract_y
_atom_site_fract_z
La1 0.000 0.000 0.000
Zn1 0.355 0.500 0.701
Ir1 0.500 0.000 0.500
```

DFT formation energy = -333 meV/atom
magnetization = 0.000 μB per formula unit


(17)
Computed, not measured: LaZn2Ir after structural relaxation at the GGA-PBE level of DFT.

Structure (CIF):
```
data_LaZn2Ir
_chemical_formula_sum 'La1 Zn2 Ir1'
_cell_length_a 3.147
_cell_length_b 3.634
_cell_length_c 6.919
_cell_angle_alpha 90.00
_cell_angle_beta 90.00
_cell_angle_gamma 90.00
_space_group_name_H-M_alt 'P m m 2'
_space_group_IT_number 25
loop_
_space_group_symop_operation_xyz
'x,y,z'
'-x,-y,z'
'-x,y,z'
'x,-y,z'
loop_
_atom_site_label
_atom_site_fract_x
_atom_site_fract_y
_atom_site_fract_z
La1 0.000 0.000 0.000
Zn1 0.000 0.000 0.551
Zn2 0.500 0.500 0.344
Ir1 0.500 0.500 0.727
```

DFT formation energy = -248 meV/atom
magnetization = 0.000 μB per formula unit


(18)
Computed, not measured: La2ZnIr after structural relaxation at the GGA-PBE level of DFT.

Structure (CIF):
```
data_La2ZnIr
_chemical_formula_sum 'La4 Zn2 Ir2'
_cell_length_a 6.108
_cell_length_b 4.460
_cell_length_c 8.135
_cell_angle_alpha 90.00
_cell_angle_beta 111.66
_cell_angle_gamma 90.00
_space_group_name_H-M_alt 'P 1 21/m 1'
_space_group_IT_number 11
loop_
_space_group_symop_operation_xyz
'x,y,z'
'-x,-y,-z'
'-x,y+1/2,-z'
'x,-y+1/2,z'
loop_
_atom_site_label
_atom_site_fract_x
_atom_site_fract_y
_atom_site_fract_z
La1 0.183 0.250 0.419
La2 0.275 0.750 0.060
Zn1 0.366 0.750 0.714
Ir1 0.133 0.250 0.785
```

DFT formation energy = -563 meV/atom
magnetization = 0.000 μB per formula unit


(19)
Computed, not measured: La5Zn5Ir2 after structural relaxation at the GGA-PBE level of DFT.

Structure (CIF):
```
data_La5Zn5Ir2
_chemical_formula_sum 'La10 Zn10 Ir4'
_cell_length_a 15.917
_cell_length_b 4.442
_cell_length_c 11.573
_cell_angle_alpha 90.00
_cell_angle_beta 132.52
_cell_angle_gamma 90.00
_space_group_name_H-M_alt 'C 1 2/m 1'
_space_group_IT_number 12
loop_
_space_group_symop_operation_xyz
'x,y,z'
'-x,-y,-z'
'-x,y,-z'
'x,-y,z'
'x+1/2,y+1/2,z'
'-x+1/2,-y+1/2,-z'
'-x+1/2,y+1/2,-z'
'x+1/2,-y+1/2,z'
loop_
_atom_site_label
_atom_site_fract_x
_atom_site_fract_y
_atom_site_fract_z
La1 0.000 0.000 0.000
La2 0.117 0.500 0.814
La3 0.203 0.500 0.585
Zn1 0.000 0.000 0.500
Zn2 0.059 0.000 0.326
Zn3 0.214 0.500 0.160
Ir1 0.108 0.500 0.264
```

DFT formation energy = -450 meV/atom
magnetization = 0.000 μB per formula unit


(20)
Computed, not measured: La5Zn2Ir after structural relaxation at the GGA-PBE level of DFT.

Structure (CIF):
```
data_La5Zn2Ir
_chemical_formula_sum 'La10 Zn4 Ir2'
_cell_length_a 8.158
_cell_length_b 11.976
_cell_length_c 4.876
_cell_angle_alpha 90.00
_cell_angle_beta 90.00
_cell_angle_gamma 90.00
_space_group_name_H-M_alt 'P b a m'
_space_group_IT_number 55
loop_
_space_group_symop_operation_xyz
'x,y,z'
'-x,-y,-z'
'-x,-y,z'
'x,y,-z'
'x+1/2,-y+1/2,-z'
'-x+1/2,y+1/2,z'
'-x+1/2,y+1/2,-z'
'x+1/2,-y+1/2,z'
loop_
_atom_site_label
_atom_site_fract_x
_atom_site_fract_y
_atom_site_fract_z
La1 0.000 0.000 0.000
La2 0.149 0.295 0.000
La3 0.183 0.578 0.500
Zn1 0.068 0.838 0.500
Ir1 0.000 0.500 0.000
```

DFT formation energy = -369 meV/atom
magnetization = 0.000 μB per formula unit